1.
Mg2InPdAu5 | PBE-GGA | relaxed

Results
E_form = -0.155 eV/atom
Calculated total energy = -3.211 eV/atom

a b c (Å): 8.2906 8.2906 7.9198
angles (deg): 121.56 121.56 90.00
Sites, in units of the cell vectors:
Au1 0.3292 0.8292 0.2630
In1 0.2500 0.2500 0.5000
Au2 0.0000 0.0000 0.0000
Mg1 0.8853 0.6147 0.0000
Pd1 0.2500 0.7500 0.5000
Pd2 0.7500 0.2500 0.5000
In2 0.7500 0.7500 0.5000
Au3 0.4338 0.3292 0.2630
Au4 0.9338 0.4338 0.2630
Au5 0.5000 0.5000 0.0000
Au6 0.1708 0.0662 0.7370
Au7 0.8292 0.9338 0.2630
Au8 0.6708 0.1708 0.7370
Au9 0.0662 0.5662 0.7370
Au10 0.5662 0.6708 0.7370
Mg2 0.6147 0.1147 0.0000
Mg3 0.1147 0.3853 0.0000
Mg4 0.3853 0.8853 0.0000



2.
Ta2AlMo | PBE-GGA | relaxed

Results
E_form = 0.151 eV/atom
Calculated total energy = -9.419 eV/atom

a b c (Å): 9.9581 9.9581 9.9580
angles (deg): 16.46 16.46 16.47
Sites, in units of the cell vectors:
Mo1 0.7500 0.7500 0.7500
Ta1 0.5019 0.5019 0.5018
Al1 0.2500 0.2500 0.2500
Ta2 0.9981 0.9981 0.9982



3.
V2GaSnAu | PBE-GGA | relaxed

Results
E_form = 0.857 eV/atom
Calculated total energy = -4.852 eV/atom

a b c (Å): 5.0590 4.6926 5.0590
angles (deg): 90.00 90.00 90.00
Sites, in units of the cell vectors:
V1 0.5000 0.0000 0.0000
Au1 0.0000 0.0000 0.0000
Ga1 0.0000 0.5000 0.0000
V2 0.0000 0.0000 0.5000
Sn1 0.5000 0.5000 0.5000



4.
Sr2CuAs | PBE-GGA | relaxed

Results
E_form = -0.528 eV/atom
Calculated total energy = -3.556 eV/atom

a b c (Å): 4.6757 4.6757 7.3890
angles (deg): 71.57 71.57 59.98
Sites, in units of the cell vectors:
As1 0.7500 0.7500 0.7500
Cu1 0.2500 0.2500 0.2500
Sr1 0.0087 0.0087 0.9738
Sr2 0.4913 0.4913 0.5262



5.
DyY3Pd2 | PBE-GGA | relaxed

Results
E_form = -0.493 eV/atom
Calculated total energy = -6.223 eV/atom
Energy above the lowest structure with this stoichiometry = 124 meV/atom

a b c (Å): 6.9248 7.1374 8.4728
angles (deg): 114.91 114.12 90.00
Sites, in units of the cell vectors:
Y1 0.7657 0.0157 0.5314
Y2 0.7657 0.5157 0.5314
Pd1 0.8503 0.1395 0.2791
Dy1 0.0000 0.0000 0.0000
Y3 0.2343 0.9843 0.4686
Pd2 0.4288 0.6395 0.2791
Pd3 0.5712 0.3605 0.7209
Y4 0.5000 0.7500 0.0000
Y5 0.2343 0.4843 0.4686
Dy2 0.0000 0.5000 0.0000
Pd4 0.1497 0.8605 0.7209
Y6 0.5000 0.2500 0.0000



6.
Ta2TcOs | PBE-GGA | relaxed

Results
E_form = 0.027 eV/atom
Calculated total energy = -11.298 eV/atom

a b c (Å): 8.5758 8.5758 8.5758
angles (deg): 20.34 20.34 20.34
Sites, in units of the cell vectors:
Ta1 0.5001 0.5001 0.5001
Ta2 0.9999 0.9999 0.9999
Os1 0.7500 0.7500 0.7500
Tc1 0.2500 0.2500 0.2500



7.
La3CoPb | PBE-GGA | relaxed

Results
E_form = -0.124 eV/atom
Calculated total energy = -5.244 eV/atom
Energy above the lowest structure with this stoichiometry = 270 meV/atom

a b c (Å): 6.5731 6.5731 6.5731
angles (deg): 87.12 87.12 87.12
Sites, in units of the cell vectors:
La1 0.7500 0.0405 0.4595
Co1 0.7500 0.7500 0.7500
La2 0.2500 0.9595 0.5405
Pb1 0.5000 0.5000 0.5000
La3 0.9595 0.5405 0.2500
Pb2 0.0000 0.0000 0.0000
La4 0.5405 0.2500 0.9595
La5 0.4595 0.7500 0.0405
La6 0.0405 0.4595 0.7500
Co2 0.2500 0.2500 0.2500



8.
Ti3MnBr | PBE-GGA | relaxed

Results
Formation energy without anion corrections = 0.419 eV/atom
Calculated total energy = -6.487 eV/atom
Energy above the lowest structure with this stoichiometry = 0 meV/atom

a b c (Å): 4.5862 4.5862 4.5862
angles (deg): 90.00 90.00 90.00
Sites, in units of the cell vectors:
Mn1 0.0000 0.0000 0.0000
Ti1 0.0000 0.5000 0.0000
Ti2 0.0000 0.0000 0.5000
Br1 0.5000 0.5000 0.5000
Ti3 0.5000 0.0000 0.0000



The lowest calculated total energy belongs to which entry? Ta2TcOs



Which of these has the highest calculated total energy? Mg2InPdAu5



calculated total energy of number 8 (Ti3MnBr)? -6.487 eV/atom